The following is a DFT calculation (GGA-PBEsol) of K2TlTc after structural relaxation.

a = 4.1885 Å, b = 4.2365 Å, c = 6.4510 Å
α = 109.17°, β = 108.94°, γ = 90.00°
Closest atoms and distances in Å follow each position.
Element x y z (fractional)
K1 0.2465 0.2465 0.4931  4 K 2.98
K2 0.7535 0.7535 0.5069  4 K 2.98
Tc1 0.5000 0.0000 0.0000  4 Tl 2.98
Tl1 0.0000 0.5000 0.0000  4 Tc 2.98

Results
As for the formation energy from the elements: 4.065 eV/f.u. The value obtained for the excess energy over the best structure of this formula in the dataset is 0 meV per atom. The size of the total moment is 1.836 μB/cell. Its symmetry is Immm (71). For the density, the calculation gives 6.22 g/cm3. The value obtained for the volume is 25.4 A^3/atom. The total energy is -3.02 eV/atom.